(1)
## Sm6HgGe2Te3 (GGA-PBE)

Data for a relaxed structure of Sm6HgGe2Te3.

```
Sm6HgGe2Te3
1.0
9.582 -2.168 0.000
9.582 2.168 0.000
-2.245 0.000 8.595
Sm Hg Ge Te
6 1 2 3
direct
0.008 0.008 0.257 Sm
0.327 0.327 0.433 Sm
0.331 0.331 0.895 Sm
0.669 0.669 0.105 Sm
0.673 0.673 0.567 Sm
0.992 0.992 0.743 Sm
0.500 0.500 0.000 Hg
0.166 0.166 0.332 Ge
0.834 0.834 0.668 Ge
0.164 0.164 0.832 Te
0.500 0.500 0.500 Te
0.836 0.836 0.168 Te
```

Fermi-level density of states	7.00	states/eV per cell
DFT total energy	-60.46	eV per cell


(2)
## SmTmHgGe (GGA-PBE)

Data for a relaxed structure of SmTmHgGe.

```
SmTmHgGe
1.0
7.312 0.000 0.000
0.000 7.312 0.000
0.000 0.000 7.312
Sm Tm Hg Ge
4 4 4 4
direct
0.000 0.000 0.000 Sm
0.000 0.500 0.500 Sm
0.500 0.000 0.500 Sm
0.500 0.500 0.000 Sm
0.000 0.000 0.500 Tm
0.000 0.500 0.000 Tm
0.500 0.000 0.000 Tm
0.500 0.500 0.500 Tm
0.250 0.250 0.250 Hg
0.250 0.750 0.750 Hg
0.750 0.250 0.750 Hg
0.750 0.750 0.250 Hg
0.250 0.250 0.750 Ge
0.250 0.750 0.250 Ge
0.750 0.250 0.250 Ge
0.750 0.750 0.750 Ge
```

Fermi-level density of states	13.34	states/eV per cell
formation energy	-0.539	eV per atom
DFT total energy	-65.06	eV per cell


(3)
## Sn2HgGe (GGA-PBE)

Data for a relaxed structure of Sn2HgGe.

```
Sn2HgGe
1.0
4.212 0.000 0.000
-2.106 3.648 0.000
0.000 0.000 21.110
Sn Hg Ge
6 3 3
direct
0.000 0.000 0.000 Sn
0.000 0.000 0.188 Sn
0.333 0.667 0.667 Sn
0.333 0.667 0.854 Sn
0.667 0.333 0.333 Sn
0.667 0.333 0.521 Sn
0.000 0.000 0.426 Hg
0.333 0.667 0.093 Hg
0.667 0.333 0.759 Hg
0.000 0.000 0.594 Ge
0.333 0.667 0.261 Ge
0.667 0.333 0.927 Ge
```

Fermi-level density of states	5.86	states/eV per cell
formation energy	0.123	eV per atom
E above lowest polymorph	26	meV/atom
DFT total energy	-37.30	eV per cell


(4)
## SnHg3Ge (GGA-PBE)

Data for a relaxed structure of SnHg3Ge.

```
SnHg3Ge
1.0
5.307 0.000 0.000
0.000 5.307 0.000
0.000 0.000 5.307
Sn Hg Ge
1 3 1
direct
0.000 0.000 0.000 Sn
0.000 0.500 0.500 Hg
0.500 0.000 0.500 Hg
0.500 0.500 0.000 Hg
0.500 0.500 0.500 Ge
```

Fermi-level density of states	2.89	states/eV per cell
formation energy	0.372	eV per atom
E above lowest polymorph	0	meV/atom
DFT total energy	-7.67	eV per cell


(5)
## Sn2Hg2Ge (GGA-PBE)

Data for a relaxed structure of Sn2Hg2Ge.

```
Sn2Hg2Ge
1.0
4.227 0.000 0.000
0.000 4.227 0.000
0.000 0.000 15.345
Sn Hg Ge
4 4 2
direct
0.000 0.500 0.250 Sn
0.000 0.500 0.750 Sn
0.500 0.000 0.250 Sn
0.500 0.000 0.750 Sn
0.000 0.000 0.092 Hg
0.000 0.000 0.908 Hg
0.500 0.500 0.408 Hg
0.500 0.500 0.592 Hg
0.000 0.000 0.500 Ge
0.500 0.500 0.000 Ge
```

Fermi-level density of states	6.04	states/eV per cell
formation energy	0.348	eV per atom
E above lowest polymorph	169	meV/atom
DFT total energy	-22.98	eV per cell


(6)
## Sn3HgGe (GGA-PBE)

Data for a relaxed structure of Sn3HgGe.

```
Sn3HgGe
1.0
5.420 0.000 0.000
0.000 5.420 0.000
0.000 0.000 5.420
Sn Hg Ge
3 1 1
direct
0.000 0.000 0.500 Sn
0.000 0.500 0.000 Sn
0.500 0.000 0.000 Sn
0.500 0.500 0.500 Hg
0.000 0.000 0.000 Ge
```

Fermi-level density of states	3.88	states/eV per cell
formation energy	0.466	eV per atom
E above lowest polymorph	0	meV/atom
DFT total energy	-14.60	eV per cell